i:
{
  "formula": "HgBi3H",
  "functional": "PBE",
  "state": "relaxed",
  "cell": [[9.089, -0.488, 1.780], [3.228, 7.460, 0.137], [0.062, 0.028, 4.884]],
  "species": ["Hg", "Hg", "Bi", "Bi", "Bi", "Bi", "Bi", "Bi", "H", "H"],
  "frac_coords": [[0.816, 0.309, 0.535], [0.552, 0.991, 0.520], [0.290, 0.215, 0.299], [0.078, 0.085, 0.755], [0.286, 0.506, 0.686], [0.572, 0.558, 0.294], [0.082, 0.794, 0.368], [0.796, 0.742, 0.761], [0.589, 0.394, 0.023], [0.780, 0.906, 0.031]],
  "dos_at_fermi_per_ev_atom": 0.039,
  "volume_a3_per_cell": 338.1,
  "rho_g_cm3": 8.14
}

ii:
{
  "formula": "HgBi3H",
  "functional": "PBE",
  "state": "relaxed",
  "cell": [[4.991, 0.000, 0.000], [0.000, 4.991, 0.000], [0.000, 0.000, 4.991]],
  "species": ["H", "Bi", "Bi", "Bi", "Hg"],
  "frac_coords": [[0.000, 0.000, 0.000], [0.000, 0.500, 0.000], [0.000, 0.000, 0.500], [0.500, 0.000, 0.000], [0.500, 0.500, 0.500]],
  "dos_at_fermi_per_ev_atom": 0.602,
  "volume_a3_per_cell": 124.3,
  "rho_g_cm3": 11.07
}

iii:
{
  "formula": "HgBi3H",
  "functional": "PBE",
  "state": "relaxed",
  "cell": [[5.791, 0.000, 0.000], [0.000, 5.791, 0.000], [0.000, 0.000, 5.791]],
  "species": ["H", "Bi", "Bi", "Bi", "Hg"],
  "frac_coords": [[0.500, 0.500, 0.500], [0.000, 0.500, 0.000], [0.000, 0.000, 0.500], [0.500, 0.000, 0.000], [0.000, 0.000, 0.000]],
  "dos_at_fermi_per_ev_atom": 0.948,
  "volume_a3_per_cell": 194.2,
  "rho_g_cm3": 7.09
}

Order from most stable to least stable according to the calculation: i, ii, iii

i:
{
  "formula": "HgBiH3",
  "functional": "PBE",
  "state": "relaxed",
  "cell": [[-2.874, 2.936, 1.286], [-2.887, -3.122, 0.677], [1.394, -0.410, 4.053]],
  "species": ["H", "H", "H", "Bi", "Hg"],
  "frac_coords": [[0.000, 0.500, 0.000], [0.000, 0.000, 0.500], [0.500, 0.000, 0.000], [0.000, 0.000, 0.000], [0.500, 0.500, 0.500]],
  "dos_at_fermi_per_ev_atom": 0.080,
  "volume_a3_per_cell": 79.8,
  "rho_g_cm3": 8.58
}

ii:
{
  "formula": "HgBiH3",
  "functional": "PBE",
  "state": "relaxed",
  "cell": [[-1.439, -3.787, -0.369], [3.588, -1.481, 1.216], [-1.266, 0.105, 3.864]],
  "species": ["H", "H", "H", "Bi", "Hg"],
  "frac_coords": [[0.000, 0.500, 0.000], [0.000, 0.000, 0.500], [0.500, 0.000, 0.000], [0.500, 0.500, 0.500], [0.000, 0.000, 0.000]],
  "dos_at_fermi_per_ev_atom": 0.463,
  "volume_a3_per_cell": 67.3,
  "rho_g_cm3": 10.18
}

Order from most stable to least stable according to the calculation: i, ii

i:
{
  "formula": "HgBiH",
  "functional": "PBE",
  "state": "relaxed",
  "cell": [[4.377, 0.000, 0.000], [0.000, 4.377, 0.000], [-2.189, -2.189, 4.018]],
  "species": ["H", "Bi", "Hg"],
  "frac_coords": [[0.935, 0.935, 0.870], [0.703, 0.703, 0.407], [0.212, 0.212, 0.423]],
  "dos_at_fermi_per_ev_atom": 0.559,
  "volume_a3_per_cell": 77.0,
  "rho_g_cm3": 8.86
}

ii:
{
  "formula": "HgBiH",
  "functional": "PBE",
  "state": "relaxed",
  "cell": [[-5.361, -4.285, 5.754], [2.587, -3.789, -0.411], [4.510, 2.427, 6.009]],
  "species": ["H", "H", "H", "H", "Bi", "Bi", "Bi", "Bi", "Hg", "Hg", "Hg", "Hg"],
  "frac_coords": [[0.876, 0.250, 0.775], [0.624, 0.750, 0.275], [0.124, 0.750, 0.225], [0.376, 0.250, 0.725], [0.383, 0.250, 0.489], [0.117, 0.750, 0.989], [0.617, 0.750, 0.511], [0.883, 0.250, 0.011], [0.886, 0.250, 0.482], [0.614, 0.750, 0.982], [0.114, 0.750, 0.518], [0.386, 0.250, 0.018]],
  "dos_at_fermi_per_ev_atom": 0.016,
  "volume_a3_per_cell": 325.7,
  "rho_g_cm3": 8.37
}

Order from most stable to least stable according to the calculation: ii, i

i:
{
  "formula": "HgBiH",
  "functional": "PBE",
  "state": "relaxed",
  "cell": [[-6.004, 4.658, -1.941], [-4.855, -6.094, 0.393], [-0.832, 0.981, 4.929]],
  "species": ["H", "H", "H", "H", "Bi", "Bi", "Bi", "Bi", "Hg", "Hg", "Hg", "Hg"],
  "frac_coords": [[0.672, 0.250, 0.009], [0.828, 0.750, 0.509], [0.328, 0.750, 0.991], [0.172, 0.250, 0.491], [0.440, 0.250, 0.089], [0.060, 0.750, 0.589], [0.560, 0.750, 0.911], [0.940, 0.250, 0.411], [0.000, 0.000, 0.000], [0.500, 0.500, 0.500], [0.500, 0.000, 0.500], [0.000, 0.500, 0.000]],
  "dos_at_fermi_per_ev_atom": 0.000,
  "volume_a3_per_cell": 311.7,
  "rho_g_cm3": 8.75
}

ii:
{
  "formula": "HgBiH",
  "functional": "PBE",
  "state": "relaxed",
  "cell": [[3.770, 0.000, 0.000], [-1.885, 6.236, -0.352], [0.000, 2.414, 5.573]],
  "species": ["Hg", "Hg", "Bi", "Bi", "H", "H"],
  "frac_coords": [[0.537, 0.075, 0.719], [0.463, 0.925, 0.281], [0.774, 0.548, 0.791], [0.226, 0.452, 0.209], [0.028, 0.055, 0.726], [0.972, 0.945, 0.274]],
  "dos_at_fermi_per_ev_atom": 0.345,
  "volume_a3_per_cell": 134.2,
  "rho_g_cm3": 10.16
}

iii:
{
  "formula": "HgBiH",
  "functional": "PBE",
  "state": "relaxed",
  "cell": [[-4.994, 0.801, 0.185], [0.489, -4.909, 0.837], [2.706, 0.385, 5.998]],
  "species": ["H", "H", "Bi", "Bi", "Hg", "Hg"],
  "frac_coords": [[0.662, 0.741, 0.310], [0.338, 0.259, 0.690], [0.590, 0.020, 0.749], [0.410, 0.980, 0.251], [0.925, 0.457, 0.239], [0.075, 0.543, 0.761]],
  "dos_at_fermi_per_ev_atom": 0.153,
  "volume_a3_per_cell": 150.6,
  "rho_g_cm3": 9.05
}

Order from most stable to least stable according to the calculation: iii, i, ii